Entry from the Alexandria database: a geometry-optimized ThScInCu structure (PBE-GGA).

```
data_ThScInCu
_chemical_formula_sum 'Th1 Sc1 In1 Cu1'
_symmetry_space_group_name_H-M 'P 1'
_symmetry_Int_Tables_number 1
_symmetry_space_group_name_Hall 'P 1'
_cell_length_a 5.128
_cell_length_b 5.128
_cell_length_c 5.128
_cell_angle_alpha 60.00
_cell_angle_beta 60.00
_cell_angle_gamma 60.00
loop_
_atom_site_label
_atom_site_fract_x
_atom_site_fract_y
_atom_site_fract_z
Th1 0.000 0.000 0.000
Cu1 0.750 0.750 0.750
Sc1 0.500 0.500 0.500
In1 0.250 0.250 0.250
```

Raw total energy (eV per cell): -21.17
ΔE_f (eV per atom): -0.15
Symmetry: F-43m, No. 216